(1)
Ta2MnSb | PBE | optimized geometry

abc: 3.041 4.091 5.682
angles: 90.00 96.54 90.00
Fractional coordinates of all 4 atoms:
Ta1 0.059 0.000 0.272
Ta2 0.941 0.000 0.728
Mn1 0.500 0.500 0.500
Sb1 0.500 0.500 0.000

Values from the calculation:
- total energy (eV/atom) = -9.0834
- SG = P2/m, No. 10
- crystal system = monoclinic


(2)
TaMnSb4 | PBE | optimized geometry

abc: 6.017 6.017 6.017
angles: 60.00 60.00 60.00
Fractional coordinates of all 6 atoms:
Ta1 0.000 0.000 0.000
Mn1 0.750 0.750 0.750
Sb1 0.375 0.375 0.375
Sb2 0.375 0.375 0.876
Sb3 0.375 0.876 0.375
Sb4 0.876 0.375 0.375

Values from the calculation:
- total energy (eV/atom) = -5.2092
- SG = F-43m, No. 216
- crystal system = cubic


(3)
Ta4MnSb | PBE | optimized geometry

abc: 5.496 5.496 5.496
angles: 60.00 60.00 60.00
Fractional coordinates of all 6 atoms:
Ta1 0.125 0.125 0.125
Ta2 0.125 0.125 0.625
Ta3 0.125 0.625 0.125
Ta4 0.625 0.125 0.125
Mn1 0.750 0.750 0.750
Sb1 0.500 0.500 0.500

Values from the calculation:
- total energy (eV/atom) = -9.5941
- SG = F-43m, No. 216
- crystal system = cubic


(4)
Ta2MnSb | PBE | optimized geometry

abc: 3.166 3.166 24.950
angles: 90.00 90.00 120.00
Fractional coordinates of all 12 atoms:
Ta1 0.000 0.000 0.237
Ta2 0.000 0.000 0.763
Ta3 0.333 0.667 0.430
Ta4 0.333 0.667 0.903
Ta5 0.667 0.333 0.097
Ta6 0.667 0.333 0.570
Mn1 0.000 0.000 0.500
Mn2 0.333 0.667 0.167
Mn3 0.667 0.333 0.833
Sb1 0.000 0.000 0.000
Sb2 0.333 0.667 0.667
Sb3 0.667 0.333 0.333

Values from the calculation:
- total energy (eV/atom) = -8.9214
- SG = R-3m, No. 166
- crystal system = trigonal


(5)
TaMn4Sb | PBE | optimized geometry

abc: 4.883 4.883 4.883
angles: 60.00 60.00 60.00
Fractional coordinates of all 6 atoms:
Ta1 0.000 0.000 0.000
Mn1 0.126 0.625 0.625
Mn2 0.625 0.126 0.625
Mn3 0.625 0.625 0.126
Mn4 0.625 0.625 0.625
Sb1 0.250 0.250 0.250

Values from the calculation:
- total energy (eV/atom) = -8.7285
- SG = F-43m, No. 216
- crystal system = cubic


(6)
Ta2MnSb | PBE | optimized geometry

abc: 5.624 8.682 2.995
angles: 90.00 102.34 90.00
Fractional coordinates of all 8 atoms:
Ta1 0.250 0.250 0.000
Ta2 0.250 0.750 0.000
Ta3 0.750 0.250 0.000
Ta4 0.750 0.750 0.000
Mn1 0.000 0.000 0.500
Mn2 0.500 0.500 0.500
Sb1 0.000 0.500 0.500
Sb2 0.500 0.000 0.500

Values from the calculation:
- total energy (eV/atom) = -9.0200
- SG = C2/m, No. 12
- crystal system = monoclinic


(7)
TaMnSb3 | PBE | optimized geometry

abc: 5.357 5.357 5.357
angles: 90.00 90.00 90.00
Fractional coordinates of all 5 atoms:
Ta1 0.000 0.000 0.000
Mn1 0.500 0.500 0.500
Sb1 0.000 0.000 0.500
Sb2 0.000 0.500 0.000
Sb3 0.500 0.000 0.000

Values from the calculation:
- total energy (eV/atom) = -5.9071
- SG = Pm-3m, No. 221
- energy above the lowest structure with this stoichiometry (eV/atom) = 0.000
- crystal system = cubic


(8)
Ta3MnSb | PBE | optimized geometry

abc: 4.961 4.961 4.961
angles: 90.00 90.00 90.00
Fractional coordinates of all 5 atoms:
Ta1 0.000 0.000 0.500
Ta2 0.000 0.500 0.000
Ta3 0.500 0.000 0.000
Mn1 0.500 0.500 0.500
Sb1 0.000 0.000 0.000

Values from the calculation:
- total energy (eV/atom) = -7.4158
- SG = Pm-3m, No. 221
- energy above the lowest structure with this stoichiometry (eV/atom) = 1.708
- crystal system = cubic


(9)
Ta2MnSb | PBE | optimized geometry

abc: 5.710 7.353 3.370
angles: 90.00 90.00 90.00
Fractional coordinates of all 8 atoms:
Ta1 0.250 0.250 0.000
Ta2 0.250 0.750 0.000
Ta3 0.750 0.250 0.000
Ta4 0.750 0.750 0.000
Mn1 0.000 0.000 0.500
Mn2 0.500 0.500 0.500
Sb1 0.000 0.500 0.500
Sb2 0.500 0.000 0.500

Values from the calculation:
- total energy (eV/atom) = -9.0765
- SG = Cmmm, No. 65
- crystal system = orthorhombic


(10)
TaMnSb | PBE | optimized geometry

abc: 3.502 3.502 8.734
angles: 90.00 90.00 90.00
Fractional coordinates of all 6 atoms:
Ta1 0.000 0.000 0.000
Ta2 0.500 0.500 0.500
Mn1 0.000 0.000 0.658
Mn2 0.500 0.500 0.158
Sb1 0.000 0.000 0.327
Sb2 0.500 0.500 0.827

Values from the calculation:
- total energy (eV/atom) = -8.1956
- SG = I4mm, No. 107
- crystal system = tetragonal


(11)
Ta2MnSb | PBE | optimized geometry

abc: 3.480 3.480 5.918
angles: 90.00 90.00 90.00
Fractional coordinates of all 4 atoms:
Ta1 0.000 0.000 0.000
Ta2 0.500 0.500 0.250
Mn1 0.000 0.000 0.482
Sb1 0.500 0.500 0.736

Values from the calculation:
- total energy (eV/atom) = -9.2080
- SG = P4mm, No. 99
- crystal system = tetragonal


(12)
TaMn2Sb2 | PBE | optimized geometry

abc: 6.768 6.768 3.676
angles: 90.00 90.00 90.00
Fractional coordinates of all 10 atoms:
Ta1 0.000 0.000 0.000
Ta2 0.500 0.500 0.000
Mn1 0.119 0.381 0.000
Mn2 0.381 0.881 0.000
Mn3 0.619 0.119 0.000
Mn4 0.881 0.619 0.000
Sb1 0.177 0.677 0.500
Sb2 0.323 0.177 0.500
Sb3 0.677 0.823 0.500
Sb4 0.823 0.323 0.500

Values from the calculation:
- total energy (eV/atom) = -7.3320
- SG = P4/mbm, No. 127
- energy above the lowest structure with this stoichiometry (eV/atom) = 0.000
- crystal system = tetragonal


(13)
Ta2MnSb | PBE | optimized geometry

abc: 3.507 3.507 5.742
angles: 90.00 90.00 90.00
Fractional coordinates of all 4 atoms:
Ta1 0.000 0.000 0.234
Ta2 0.000 0.000 0.766
Mn1 0.500 0.500 0.000
Sb1 0.500 0.500 0.500

Values from the calculation:
- total energy (eV/atom) = -9.0951
- SG = P4/mmm, No. 123
- crystal system = tetragonal


(14)
TaMnSb | PBE | optimized geometry

abc: 3.193 3.193 6.275
angles: 90.00 90.00 120.00
Fractional coordinates of all 3 atoms:
Ta1 0.000 0.000 0.000
Mn1 0.667 0.333 0.281
Sb1 0.333 0.667 0.621

Values from the calculation:
- total energy (eV/atom) = -8.0567
- SG = P3m1, No. 156
- crystal system = trigonal


(15)
TaMn2Sb2 | PBE | optimized geometry

abc: 4.836 4.836 7.707
angles: 90.00 90.00 90.00
Fractional coordinates of all 10 atoms:
Ta1 0.000 0.000 0.000
Ta2 0.500 0.500 0.500
Mn1 0.000 0.000 0.368
Mn2 0.000 0.000 0.632
Mn3 0.500 0.500 0.132
Mn4 0.500 0.500 0.868
Sb1 0.000 0.500 0.250
Sb2 0.000 0.500 0.750
Sb3 0.500 0.000 0.250
Sb4 0.500 0.000 0.750

Values from the calculation:
- total energy (eV/atom) = -7.0761
- SG = I4/mmm, No. 139
- energy above the lowest structure with this stoichiometry (eV/atom) = 0.256
- crystal system = tetragonal


no.,E_form (uncorrected) (meV per atom),magnetic moment (μB per atom)
1,166,0.43
2,1043,0.59
3,523,0.41
4,328,0.03
5,47,0.84
6,229,0.65
7,771,0.94
8,2354,0.14
9,173,0.51
10,186,0.92
11,41,0.65
12,355,0.00
13,154,0.50
14,325,0.60
15,611,0.47